First-principles (PBE+U) data for Co2O after structural relaxation, as listed in the Open Quantum Materials Database.

Structure (extended XYZ):
```
6
Lattice="4.475 -1.175 -1.006 1.213 -4.557 -0.427 1.083 -1.773 -4.255" Properties=species:S:1:pos:R:3 pbc="T T T"
O 0.000 0.000 0.000
Co 4.232 -4.690 -3.555
Co 3.626 -2.412 -3.341
Co 1.994 -4.103 -3.052
Co 3.690 -3.804 -1.427
O 1.693 -1.876 -1.422
```

Calculated values
* ΔE to the lowest computed polymorph: 1.037 eV per atom
* space group: Fd-3m, No. 227
* V: 12.51 A^3/atom